Below is a PBEsol-optimized structure of ScZnCo2, with properties calculated at the meta-GGA SCAN level.

Cell lengths 3.893, 2.875, 9.564 Å; angles 90.00, 90.00, 90.00 degrees
Space group Amm2 (No. 38)
Inequivalent atoms, fractional coordinates:
1 Sc 0.000 0.000 0.000 x2
2 Zn 0.500 0.000 0.327 x2
3 Co 0.000 0.000 0.737 x2
4 Co 0.500 0.000 0.607 x2

Output
* energy: -15.562 eV/atom